Below is a relaxed Li3Sn4 crystal, with properties calculated at the PBE level.

Properties
Offset from the most stable computed form, meV per atom: 0.0
Magnetization, μB per formula unit: 0.0

a b c (Å): 4.7972 4.7972 22.8297
angles (deg): 90.00 90.00 120.00
Space group R-3m (No. 166, hexagonal axes)
Symmetry-distinct sites (fractional):
Li  0.0000  0.0000  0.0000 [3 per cell]
Li  0.0000  0.0000  0.2546 [6 per cell]
Sn  0.0000  0.0000  0.1285 [6 per cell]
Sn  0.0000  0.0000  0.3837 [6 per cell]